# V3ZnRe

V3ZnRe after structural relaxation (GGA-PBE, Alexandria via LeMat-Bulk).

abc: 4.3549 4.3549 4.3549
angles: 90.00 90.00 90.00
With the nearest neighbours (Å) after each atom.
Atoms (fractional coordinates):
Re  0.5000  0.5000  0.5000  12 V 3.08
Zn  0.0000  0.0000  0.0000  6 V 2.18
V  0.0000  0.5000  0.0000  2 Zn 2.18
V  0.0000  0.0000  0.5000  2 Zn 2.18
V  0.5000  0.0000  0.0000  2 Zn 2.18

Summary:
E, eV/atom: -6.68
Energy of formation, eV/atom: 1.531
Offset from the most stable computed form, meV/atom: 351

---

# ZrWBr2

ZrWBr2 after structural relaxation (GGA-PBE, Alexandria via LeMat-Bulk).

abc: 4.7756 4.7756 4.7756
angles: 60.00 60.00 60.00
With the nearest neighbours (Å) after each atom.
Atoms (fractional coordinates):
Br  0.2500  0.2500  0.2500  4 W 2.92, 4 Zr 2.92
Br  0.7500  0.7500  0.7500  4 Zr 2.92, 4 W 2.92
Zr  0.0000  0.0000  0.0000  8 Br 2.92
W  0.5000  0.5000  0.5000  8 Br 2.92

Summary:
E, eV/atom: -5.39
Offset from the most stable computed form, meV/atom: 890